# SrTeRu

A relaxed SrTeRu crystal (GGA-PBEsol, Alexandria).

Values from the calculation:
raw total energy: -12.93 eV per cell
symmetry: F-43m
E_form (uncorrected): 252 kJ/mol of formula units
calculated volume: 90.71 Å³/f.u.
DOS(E_F): 9.0 states/eV/cell

```
SrTeRu
1.0
0.0000 3.5662 3.5662
3.5662 0.0000 3.5662
3.5662 3.5662 0.0000
Sr Te Ru
1 1 1
direct
0.0000 0.0000 0.0000
0.7500 0.7500 0.7500
0.2500 0.2500 0.2500
```

# TaCdRh

A relaxed TaCdRh crystal (GGA-PBEsol, Alexandria).

Values from the calculation:
raw total energy: -18.99 eV per cell
symmetry: F-43m
calculated volume: 57.21 Å³/f.u.
DOS(E_F): 4.3 states/eV/cell

```
TaCdRh
1.0
0.0000 3.0582 3.0582
3.0582 0.0000 3.0582
3.0582 3.0582 0.0000
Ta Cd Rh
1 1 1
direct
0.0000 0.0000 0.0000
0.7500 0.7500 0.7500
0.5000 0.5000 0.5000
```

# ZnBSN2

A relaxed ZnBSN2 crystal (GGA-PBEsol, Alexandria).

Values from the calculation:
raw total energy: -26.31 eV per cell
symmetry: P4/mmm
E_form (uncorrected): 360 kJ/mol of formula units
calculated volume: 66.08 Å³/f.u.
DOS(E_F): 1.7 states/eV/cell

```
ZnBSN2
1.0
3.1480 0.0000 0.0000
0.0000 3.1480 0.0000
0.0000 0.0000 6.6676
Zn B S N
1 1 1 2
direct
0.0000 0.0000 0.0000
0.5000 0.5000 0.5000
0.5000 0.5000 0.0000
0.0000 0.5000 0.5000
0.5000 0.0000 0.5000
```

# LaCe3

A relaxed LaCe3 crystal (GGA-PBEsol, Alexandria).

Values from the calculation:
raw total energy: -24.84 eV per cell
symmetry: I4/mmm
calculated volume: 102.35 Å³/f.u.
DOS(E_F): 7.1 states/eV/cell

```
LaCe3
1.0
-2.3386 2.3386 4.6786
2.3386 -2.3386 4.6786
2.3386 2.3386 -4.6786
La Ce
1 3
direct
0.0000 0.0000 0.0000
0.2500 0.7500 0.5000
0.5000 0.5000 0.0000
0.7500 0.2500 0.5000
```

> raw total energy of number 2 (TaCdRh)?

-18.99 eV per cell